1.
Density functional theory data (PBE) for crystalline PrNdY at its relaxed geometry.

a = 3.6642 Å, b = 3.6642 Å, c = 15.4966 Å
α = 90.00°, β = 90.00°, γ = 90.00°
Last column: nearest neighbours and their distance in Å.
Space group I4mm (No. 107)
Asymmetric unit:
1 Pr 0.0000 0.0000 0.0000 x2  4 Y 3.65, 4 Pr 3.66, 4 Nd 3.68
2 Nd 0.0000 0.0000 0.6689 x2  4 Y 3.64, 4 Nd 3.66, 4 Pr 3.68
3 Y 0.0000 0.0000 0.3338 x2  4 Nd 3.64, 4 Pr 3.65, 4 Y 3.66


2.
Density functional theory data (PBE) for crystalline PrNd3Y3 at its relaxed geometry.

a = 8.8186 Å, b = 8.8186 Å, c = 22.2816 Å
α = 90.00°, β = 90.00°, γ = 120.00°
Last column: nearest neighbours and their distance in Å.
Space group R-3 (No. 148, hexagonal axes)
Asymmetric unit:
1 Pr 0.0000 0.0000 0.1549 x6  6 Y 3.62-3.85, 6 Nd 3.70-3.83
2 Nd 0.0489 0.4487 0.3810 x18  4 Y 3.36-3.69, 2 Nd 3.67, 1 Pr 3.70
3 Y 0.0036 0.2310 0.5587 x18  4 Y 3.30-3.50, 4 Nd 3.36-3.69, 1 Pr 3.62


3.
Density functional theory data (PBE) for crystalline Pr2Nd2Y15 at its relaxed geometry.

a = 11.3711 Å, b = 11.3711 Å, c = 17.6864 Å
α = 90.00°, β = 90.00°, γ = 120.00°
Last column: nearest neighbours and their distance in Å.
Space group R-3m (No. 166, hexagonal axes)
Asymmetric unit:
1 Pr 0.0000 0.0000 0.1172 x6  6 Y 3.40-3.68, 1 Nd 3.78
2 Nd 0.0000 0.0000 0.3310 x6  1 Pr 3.78, 12 Y 3.99-4.19
3 Y 0.0000 0.3013 0.0000 x18  6 Y 3.34-3.43
4 Y 0.0000 0.5000 0.5000 x9  8 Y 3.39-3.42, 2 Pr 3.40
5 Y 0.0142 0.5071 0.1389 x18  6 Y 3.29-3.39, 1 Pr 3.68


4.
Density functional theory data (PBE) for crystalline Pr3Nd8Y3 at its relaxed geometry.

a = 5.7520 Å, b = 10.9979 Å, c = 15.5201 Å
α = 90.00°, β = 90.00°, γ = 90.00°
Last column: nearest neighbours and their distance in Å.
Space group Immm (No. 71)
Asymmetric unit:
1 Pr 0.0000 0.0000 0.0000 x2  2 Pr 3.37, 8 Nd 3.75
2 Pr 0.0000 0.3066 0.0000 x4  1 Pr 3.37, 4 Y 3.55-3.58, 4 Nd 3.66
3 Nd 0.0000 0.1577 0.2246 x8  6 Nd 3.31-3.61, 2 Y 3.65
4 Nd 0.0000 0.3373 0.3959 x8  5 Nd 3.23-3.58
5 Y 0.0000 0.0000 0.5000 x2  4 Pr 3.58
6 Y 0.0000 0.5000 0.1835 x4  2 Pr 3.55, 8 Nd 3.65-3.82


5.
Density functional theory data (PBE) for crystalline Pr8NdY2 at its relaxed geometry.

a = 5.7913 Å, b = 8.3824 Å, c = 16.2952 Å
α = 90.00°, β = 90.00°, γ = 90.00°
Last column: nearest neighbours and their distance in Å.
Space group Immm (No. 71)
Asymmetric unit:
1 Pr 0.0000 0.0000 0.1638 x4  8 Pr 3.63-3.84, 2 Y 3.65, 2 Nd 3.94
2 Pr 0.0000 0.2038 0.3634 x8  1 Nd 3.33, 4 Pr 3.42-3.67, 3 Y 3.52-3.64
3 Pr 0.0000 0.2931 0.0000 x4  7 Pr 3.47-3.65, 2 Y 3.69, 2 Nd 3.80
4 Nd 0.0000 0.5000 0.5000 x2  4 Pr 3.33
5 Y 0.0000 0.5000 0.2002 x4  10 Pr 3.52-3.69


6.
Density functional theory data (PBE) for crystalline Pr5Nd4Y at its relaxed geometry.

a = 19.1365 Å, b = 3.6881 Å, c = 10.4650 Å
α = 90.00°, β = 105.87°, γ = 90.00°
Last column: nearest neighbours and their distance in Å.
Space group C2/m (No. 12)
Asymmetric unit:
1 Pr 0.0000 0.0000 0.0000 x2  8 Pr 3.68-3.70, 4 Nd 3.71
2 Pr 0.0991 0.5000 0.3022 x4  4 Nd 3.66-3.70, 2 Y 3.66, 6 Pr 3.69-3.72
3 Pr 0.1999 0.0000 0.1000 x4  7 Pr 3.68-3.72, 5 Nd 3.69-3.72
4 Nd 0.0997 0.5000 0.7971 x4  6 Pr 3.66-3.72, 2 Y 3.67, 4 Nd 3.67-3.69
5 Nd 0.1996 0.0000 0.5999 x4  6 Nd 3.67-3.70, 1 Y 3.67, 5 Pr 3.68-3.70
6 Y 0.0000 0.0000 0.5000 x2  4 Pr 3.66, 6 Nd 3.67, 2 Y 3.69


7.
Density functional theory data (PBE) for crystalline Pr7Nd4Y at its relaxed geometry.

a = 12.3145 Å, b = 6.1781 Å, c = 13.0893 Å
α = 90.00°, β = 117.77°, γ = 90.00°
Last column: nearest neighbours and their distance in Å.
Space group C2/m (No. 12)
Asymmetric unit:
1 Pr 0.0000 0.0000 0.0000 x2  2 Y 3.09, 2 Pr 3.18
2 Pr 0.1313 0.5000 0.5006 x4  2 Pr 3.23-3.37, 3 Nd 3.39-3.61
3 Pr 0.2086 0.0000 0.9213 x4  2 Pr 3.18-3.37, 1 Y 3.24, 4 Nd 3.38-3.51
4 Pr 0.2451 0.0000 0.6815 x4  4 Pr 3.37-3.74, 1 Nd 3.74
5 Nd 0.0614 0.0000 0.3248 x4  5 Pr 3.38-3.74, 2 Nd 3.76
6 Nd 0.1346 0.5000 0.7775 x4  7 Pr 3.49-3.82, 2 Nd 3.76
7 Y 0.0000 0.5000 0.0000 x2  4 Pr 3.09-3.24


8.
Density functional theory data (PBE) for crystalline Pr2Nd4Y5 at its relaxed geometry.

a = 11.3224 Å, b = 7.5833 Å, c = 9.3444 Å
α = 90.00°, β = 107.35°, γ = 90.00°
Last column: nearest neighbours and their distance in Å.
Space group C2/m (No. 12)
Asymmetric unit:
1 Pr 0.1445 0.0000 0.1282 x4  1 Pr 3.43, 4 Nd 3.46-3.81, 6 Y 3.49-3.76
2 Nd 0.1776 0.5000 0.1272 x4  1 Nd 3.45, 6 Y 3.49-3.55, 3 Pr 3.55-3.81
3 Nd 0.1825 0.5000 0.4978 x4  1 Nd 3.45, 1 Pr 3.46, 5 Y 3.59-3.68
4 Y 0.0000 0.0000 0.5000 x2  4 Y 3.29, 2 Nd 3.59
5 Y 0.0669 0.2810 0.7806 x8  2 Y 3.29-3.32, 5 Nd 3.49-3.68, 2 Pr 3.49-3.54


9.
Density functional theory data (PBE) for crystalline PrNd6Y8 at its relaxed geometry.

a = 9.1754 Å, b = 9.1754 Å, c = 21.1066 Å
α = 90.00°, β = 90.00°, γ = 120.00°
Last column: nearest neighbours and their distance in Å.
Space group R-3 (No. 148, hexagonal axes)
Asymmetric unit:
1 Pr 0.0000 0.0000 0.0000 x3  6 Nd 3.51, 6 Y 3.59
2 Nd 0.0602 0.2471 0.7101 x18  4 Y 3.42-3.75, 1 Pr 3.51, 2 Nd 3.55
3 Y 0.0000 0.0000 0.4230 x6  4 Y 3.25-3.46, 3 Nd 3.48
4 Y 0.0804 0.5579 0.8076 x18  3 Nd 3.42-3.75, 5 Y 3.46-3.49, 1 Pr 3.59


10.
Density functional theory data (PBE) for crystalline Pr5Nd2Y3 at its relaxed geometry.

a = 11.0665 Å, b = 14.9401 Å, c = 10.1975 Å
α = 90.00°, β = 122.81°, γ = 90.00°
Last column: nearest neighbours and their distance in Å.
Space group C2/c (No. 15)
Asymmetric unit:
1 Pr 0.0000 0.0136 0.2500 x4  3 Pr 3.14-3.52, 2 Nd 3.39
2 Pr 0.0000 0.2237 0.2500 x4  3 Pr 3.14-3.51, 2 Y 3.44, 2 Nd 3.51
3 Pr 0.0000 0.4756 0.7500 x4  3 Y 3.11-3.43
4 Pr 0.2449 0.3722 0.2478 x8  3 Y 3.50-3.78, 3 Pr 3.51-3.55, 2 Nd 3.87-3.88
5 Nd 0.1543 0.1265 0.0607 x8  3 Y 3.31-3.59, 4 Pr 3.39-3.61
6 Y 0.0000 0.2676 0.7500 x4  1 Pr 3.11, 2 Nd 3.40
7 Y 0.1511 0.3745 0.5535 x8  1 Nd 3.31, 5 Pr 3.43-3.65, 1 Y 3.60


11.
Density functional theory data (PBE) for crystalline Pr8NdY4 at its relaxed geometry.

a = 7.4300 Å, b = 7.4300 Å, c = 28.8878 Å
α = 90.00°, β = 90.00°, γ = 120.00°
Last column: nearest neighbours and their distance in Å.
Space group R-3m (No. 166, hexagonal axes)
Asymmetric unit:
1 Pr 0.0000 0.0000 0.2148 x6  9 Pr 3.77-3.88, 3 Y 4.04
2 Pr 0.0332 0.5166 0.7650 x18  1 Nd 3.07, 2 Pr 3.34, 1 Y 3.44
3 Nd 0.0000 0.0000 0.5000 x3  6 Pr 3.07
4 Y 0.0000 0.0000 0.0000 x3  6 Pr 3.44, 6 Y 3.72
5 Y 0.0000 0.5000 0.0000 x9  6 Pr 3.63-4.04, 6 Y 3.72


12.
Density functional theory data (PBE) for crystalline PrNdY6 at its relaxed geometry.

a = 10.1413 Å, b = 6.8581 Å, c = 8.6897 Å
α = 90.00°, β = 104.99°, γ = 90.00°
Last column: nearest neighbours and their distance in Å.
Space group C2/m (No. 12)
Asymmetric unit:
1 Pr 0.0000 0.0000 0.0000 x2  8 Y 3.47-3.52
2 Nd 0.0000 0.0000 0.5000 x2  6 Y 3.36-3.66
3 Y 0.1283 0.5000 0.4277 x4  5 Y 3.17-3.53
4 Y 0.1977 0.2594 0.7996 x8  5 Y 3.30-3.56, 1 Nd 3.36, 2 Pr 3.47-3.52


13.
Density functional theory data (PBE) for crystalline PrNd6Y4 at its relaxed geometry.

a = 11.2244 Å, b = 11.2244 Å, c = 3.6035 Å
α = 90.00°, β = 90.00°, γ = 120.00°
Last column: nearest neighbours and their distance in Å.
Space group P-6m2 (No. 187)
Asymmetric unit:
1 Pr 0.0000 0.0000 0.0000 x1  2 Pr 3.60, 6 Y 3.67, 6 Nd 3.95
2 Nd 0.1811 0.3621 0.5000 x3  4 Y 3.37-3.47, 2 Nd 3.60
3 Nd 0.5189 0.0378 0.0000 x3  5 Y 3.59-3.61, 6 Nd 3.60-3.79
4 Y 0.3285 0.1642 0.5000 x3  6 Nd 3.37-3.59, 2 Y 3.60, 2 Pr 3.67
5 Y 0.3333 0.6667 0.0000 x1  9 Nd 3.47-3.61, 2 Y 3.60


14.
Density functional theory data (PBE) for crystalline Pr3Nd8Y3 at its relaxed geometry.

a = 5.8043 Å, b = 11.0285 Å, c = 15.4327 Å
α = 90.00°, β = 90.00°, γ = 90.00°
Last column: nearest neighbours and their distance in Å.
Space group Immm (No. 71)
Asymmetric unit:
1 Pr 0.0000 0.0000 0.0000 x2  4 Y 3.64, 4 Pr 4.03, 4 Nd 4.05
2 Pr 0.0000 0.5000 0.3185 x4  2 Y 3.56, 8 Nd 3.71-3.80
3 Nd 0.0000 0.1596 0.2783 x8  6 Nd 3.34-3.63, 2 Pr 3.71
4 Nd 0.0000 0.3378 0.1030 x8  4 Nd 3.18-3.43
5 Y 0.0000 0.0000 0.5000 x2  2 Y 3.32
6 Y 0.0000 0.3011 0.5000 x4  1 Y 3.32, 4 Pr 3.56-3.64, 4 Nd 3.65


15.
Density functional theory data (PBE) for crystalline Pr2Nd7Y3 at its relaxed geometry.

a = 3.7382 Å, b = 5.7081 Å, c = 20.9325 Å
α = 90.00°, β = 95.24°, γ = 90.00°
Last column: nearest neighbours and their distance in Å.
Space group P2/m (No. 10)
Asymmetric unit:
1 Pr 0.1435 0.0000 0.2782 x2  3 Nd 3.21-3.55
2 Nd 0.0892 0.5000 0.1717 x2  6 Nd 3.50-3.74, 2 Pr 3.62
3 Nd 0.2152 0.0000 0.4322 x2  1 Pr 3.21, 2 Nd 3.39
4 Nd 0.4305 0.0000 0.8667 x2  2 Y 3.35, 6 Nd 3.50-3.74, 2 Pr 3.55
5 Nd 0.5000 0.5000 0.0000 x1  4 Y 3.41, 2 Nd 3.74
6 Y 0.0000 0.0000 0.0000 x1  8 Nd 3.35-3.41, 2 Y 3.74
7 Y 0.3247 0.5000 0.6565 x2  4 Pr 3.67-3.68, 2 Y 3.74, 6 Nd 3.87-4.04


16.
Density functional theory data (PBE) for crystalline PrNd6Y3 at its relaxed geometry.

a = 11.6596 Å, b = 3.5908 Å, c = 17.4794 Å
α = 90.00°, β = 109.35°, γ = 90.00°
Last column: nearest neighbours and their distance in Å.
Space group P2_1/m (No. 11)
Asymmetric unit:
1 Pr 0.1556 0.2500 0.3123 x2  4 Nd 3.40-3.60, 2 Pr 3.59
2 Nd 0.0392 0.7500 0.1012 x2  3 Y 3.48-3.69, 8 Nd 3.59-3.84
3 Nd 0.1458 0.7500 0.7967 x2  2 Y 3.30-3.32, 1 Pr 3.40, 4 Nd 3.59-3.69
4 Nd 0.2513 0.7500 0.5016 x2  4 Y 3.29-3.68, 5 Nd 3.55-3.68, 2 Pr 3.60
5 Nd 0.3458 0.2500 0.1886 x2  3 Y 3.46-3.62, 1 Pr 3.57, 8 Nd 3.59-3.86
6 Nd 0.4376 0.2500 0.8967 x2  5 Y 3.51-3.72, 8 Nd 3.59-3.86
7 Nd 0.4635 0.7500 0.3955 x2  9 Nd 3.55-3.90, 2 Y 3.67, 2 Pr 3.84
8 Y 0.0634 0.2500 0.6009 x2  5 Nd 3.51-3.70, 6 Y 3.59-3.79, 2 Pr 3.82
9 Y 0.2487 0.7500 0.9981 x2  9 Nd 3.32-3.72, 2 Y 3.59
10 Y 0.3470 0.7500 0.7013 x2  5 Nd 3.29-3.67, 4 Y 3.59-3.66


17.
Density functional theory data (PBE) for crystalline Pr2Nd6Y at its relaxed geometry.

a = 12.8039 Å, b = 15.0880 Å, c = 6.8314 Å
α = 90.00°, β = 105.83°, γ = 90.00°
Last column: nearest neighbours and their distance in Å.
Space group C2/c (No. 15)
Asymmetric unit:
1 Pr 0.1444 0.0203 0.3677 x8  7 Nd 3.45-3.74, 3 Pr 3.47-3.61
2 Nd 0.0465 0.1876 0.0200 x8  6 Nd 3.44-3.77, 3 Pr 3.46-3.74, 1 Y 3.59
3 Nd 0.1364 0.3990 0.8191 x8  3 Nd 3.36-3.53, 2 Pr 3.54-3.60, 1 Y 3.57
4 Nd 0.2337 0.1932 0.7019 x8  6 Nd 3.37-3.65, 2 Pr 3.45-3.70, 1 Y 3.57
5 Y 0.0000 0.3921 0.2500 x4  10 Nd 3.57-3.81


18.
Density functional theory data (PBE) for crystalline Pr5Nd2Y3 at its relaxed geometry.

a = 12.3536 Å, b = 17.4955 Å, c = 6.5807 Å
α = 90.00°, β = 90.00°, γ = 90.00°
Last column: nearest neighbours and their distance in Å.
Space group Ibam (No. 72)
Asymmetric unit:
1 Pr 0.0000 0.0000 0.2500 x4  4 Pr 3.12-3.29
2 Pr 0.2426 0.1695 0.0000 x8  2 Pr 3.39, 1 Nd 3.43, 3 Y 3.51-3.78
3 Pr 0.2473 0.5000 0.2500 x8  1 Y 3.06, 5 Pr 3.12-3.39
4 Nd 0.0842 0.3308 0.0000 x8  1 Pr 3.43, 3 Y 3.54-3.58
5 Y 0.0000 0.5000 0.2500 x4  2 Pr 3.06, 2 Y 3.29
6 Y 0.0914 0.1679 0.5000 x8  7 Pr 3.51-3.91, 1 Nd 3.58


19.
Density functional theory data (PBE) for crystalline Pr5Nd12Y2 at its relaxed geometry.

a = 18.8603 Å, b = 7.2075 Å, c = 10.7236 Å
α = 90.00°, β = 111.09°, γ = 90.00°
Last column: nearest neighbours and their distance in Å.
Space group C2/m (No. 12)
Asymmetric unit:
1 Pr 0.0000 0.0000 0.0000 x2  2 Nd 2.93
2 Pr 0.1745 0.5000 0.7102 x4  2 Pr 3.63, 2 Y 3.64, 9 Nd 3.77-4.00
3 Pr 0.1861 0.0000 0.6848 x4  5 Nd 3.31-3.70, 2 Pr 3.63
4 Nd 0.0006 0.5000 0.8233 x4  7 Nd 3.49-3.80, 2 Y 3.83, 1 Pr 3.89
5 Nd 0.0265 0.0000 0.7475 x4  1 Pr 2.93, 2 Y 3.20
6 Nd 0.1594 0.2471 0.3689 x8  6 Nd 3.49-3.75, 2 Pr 3.65-3.70, 1 Y 3.75
7 Nd 0.1667 0.2524 0.0245 x8  6 Nd 3.37-3.75, 1 Pr 3.56
8 Y 0.0000 0.2733 0.5000 x4  2 Nd 3.20, 1 Y 3.27


| no. | VASP energy (eV/cell) |
| --- | --- |
| 1 | -31.9 |
| 2 | -222.2 |
| 3 | -332.1 |
| 4 | -140.8 |
| 5 | -109.6 |
| 6 | -98.6 |
| 7 | -112.3 |
| 8 | -119.3 |
| 9 | -249.9 |
| 10 | -204.4 |
| 11 | -200.0 |
| 12 | -90.7 |
| 13 | -57.5 |
| 14 | -141.1 |
| 15 | -59.6 |
| 16 | -104.7 |
| 17 | -174.7 |
| 18 | -200.7 |
| 19 | -181.9 |